(1)
This record from Alexandria via LeMat-Bulk describes a relaxed structure of TaTcHg2. The functional is GGA-PBE.

Lattice parameters (Å, degrees): 7.6502 7.6502 6.0759 50.98 50.98 90.00
With the nearest neighbours (Å) after each atom.
Sites, in units of the cell vectors:
Tc: 0.5000 0.5000 0.0000  4 Hg 2.76, 2 Ta 2.77
Hg: 0.8750 0.8689 0.7500  2 Tc 2.76, 2 Hg 2.77, 2 Ta 2.82
Ta: 0.7500 0.2500 0.5000  2 Tc 2.77, 4 Hg 2.82
Tc: 0.2500 0.7500 0.5000  4 Hg 2.76, 2 Ta 2.77
Ta: 0.0000 0.0000 0.0000  2 Tc 2.77, 4 Hg 2.82
Hg: 0.1311 0.6250 0.2500  2 Tc 2.76, 2 Hg 2.77, 2 Ta 2.82
Hg: 0.3750 0.3811 0.7500  2 Tc 2.76, 2 Hg 2.77, 2 Ta 2.82
Hg: 0.6189 0.1250 0.2500  2 Tc 2.76, 2 Hg 2.77, 2 Ta 2.82

Computed properties:
Total DFT energy (no corrections)   -4.72 eV per atom
Formation energy   3.9 eV/f.u.

---

(2)
This record from Alexandria via LeMat-Bulk describes a relaxed structure of Mg3Cd2. The functional is GGA-PBE.

Lattice parameters (Å, degrees): 14.3976 13.6115 5.2502 87.78 70.85 21.37
With the nearest neighbours (Å) after each atom.
Sites, in units of the cell vectors:
Mg: 0.4558 0.3517 0.6632  4 Cd 2.98-3.07, 6 Mg 3.05-3.33
Mg: 0.2552 0.2448 0.2448  6 Cd 3.04-3.10, 6 Mg 3.12-3.33
Mg: 0.8983 0.7942 0.7207  4 Cd 2.98-3.07, 6 Mg 3.05-3.33
Mg: 0.0052 0.9948 0.9948  6 Cd 3.04-3.10, 6 Mg 3.12-3.33
Cd: 0.5852 0.0125 0.4777  7 Mg 2.98-3.10, 4 Cd 3.18-3.33
Mg: 0.5868 0.7207 0.7942  4 Cd 2.98-3.07, 6 Mg 3.05-3.33
Cd: 0.2375 0.6648 0.3254  7 Mg 2.98-3.10, 4 Cd 3.18-3.33
Cd: 0.7723 0.3254 0.6648  7 Mg 2.98-3.10, 4 Cd 3.18-3.33
Cd: 0.9246 0.4777 0.0125  7 Mg 2.98-3.10, 4 Cd 3.18-3.33
Mg: 0.5293 0.6632 0.3517  4 Cd 2.98-3.07, 6 Mg 3.05-3.33

Computed properties:
Total DFT energy (no corrections)   -1.39 eV per atom
Formation energy   -0.3 eV/f.u.

---

(3)
This record from Alexandria via LeMat-Bulk describes a relaxed structure of La6Pm2ErTh. The functional is GGA-PBE.

Lattice parameters (Å, degrees): 9.2447 6.9849 6.7694 121.06 105.92 90.00
With the nearest neighbours (Å) after each atom.
Sites, in units of the cell vectors:
Pm: 0.1749 0.0724 0.1449  1 Pm 3.13, 2 La 3.21, 1 Er 3.37
Er: 0.5000 0.0000 0.0000  2 Pm 3.37, 4 La 3.42
La: 0.8037 0.9592 0.3913  2 Pm 3.21-3.58, 2 La 3.30-3.45, 1 Er 3.42
La: 0.1963 0.5678 0.6087  2 Pm 3.21-3.58, 2 La 3.30-3.45, 1 Er 3.42
La: 0.4142 0.6254 0.2507  1 Th 3.63, 7 La 3.71-4.06, 2 Er 3.96
La: 0.5858 0.3746 0.7493  1 Th 3.63, 7 La 3.71-4.06, 2 Er 3.96
Th: 0.0000 0.5000 0.0000  10 La 3.63-3.80, 4 Pm 3.83
La: 0.1963 0.0408 0.6087  2 Pm 3.21-3.58, 2 La 3.30-3.45, 1 Er 3.42
Pm: 0.8251 0.9276 0.8551  1 Pm 3.13, 2 La 3.21, 1 Er 3.37
La: 0.8037 0.4322 0.3913  2 Pm 3.21-3.58, 2 La 3.30-3.45, 1 Er 3.42

Computed properties:
Total DFT energy (no corrections)   -4.91 eV per atom
Formation energy   1.9 eV/f.u.

---

(4)
This record from Alexandria via LeMat-Bulk describes a relaxed structure of BaCaTi4O8. The functional is GGA-PBE.

Lattice parameters (Å, degrees): 5.5783 5.5783 7.7796 90.00 90.00 120.00
With the nearest neighbours (Å) after each atom.
Sites, in units of the cell vectors:
O: 0.6697 0.0000 0.6945  2 Ti 1.93
O: 0.3303 0.3303 0.6945  2 Ti 1.93
Ti: 0.6667 0.3333 0.7582  4 O 1.88-1.93
Ti: 0.3333 0.6667 0.7582  4 O 1.88-1.93
Ti: 0.3333 0.6667 0.2418  4 O 1.88-1.93
Ba: 0.0000 0.0000 0.0000  12 O 3.01-3.22
O: 0.0000 0.3303 0.3055  2 Ti 1.93
Ti: 0.6667 0.3333 0.2418  4 O 1.88-1.93
Ca: 0.0000 0.0000 0.5000  6 O 2.38
O: 0.0000 0.6697 0.6945  2 Ti 1.93
O: 0.6697 0.6697 0.3055  2 Ti 1.93
O: 0.3333 0.6667 0.0000  2 Ti 1.88
O: 0.3303 0.0000 0.3055  2 Ti 1.93
O: 0.6667 0.3333 0.0000  2 Ti 1.88

Computed properties:
Total DFT energy (no corrections)   -8.13 eV per atom

---

(5)
This record from Alexandria via LeMat-Bulk describes a relaxed structure of MgSc. The functional is GGA-PBE.

Lattice parameters (Å, degrees): 5.1768 5.1768 5.8788 90.00 90.00 120.00
With the nearest neighbours (Å) after each atom.
Sites, in units of the cell vectors:
Mg: 0.3333 0.6667 0.2500  5 Sc 2.94-2.99
Sc: 0.3333 0.6667 0.7500  5 Mg 2.94-2.99
Mg: 0.6667 0.3333 0.7500  5 Sc 2.94-2.99
Sc: 0.6667 0.3333 0.2500  5 Mg 2.94-2.99

Computed properties:
Total DFT energy (no corrections)   -2.99 eV per atom
Formation energy   1.9 eV/f.u.

---

(6)
This record from Alexandria via LeMat-Bulk describes a relaxed structure of Ca2CuRu. The functional is GGA-PBE.

Lattice parameters (Å, degrees): 3.4303 3.4428 8.0159 64.43 90.00 90.00
With the nearest neighbours (Å) after each atom.
Sites, in units of the cell vectors:
Ca: 0.0000 0.4860 0.5143  4 Ru 2.97, 4 Cu 3.09
Ru: 0.5000 0.7500 0.7500  8 Ca 2.97
Cu: 0.5000 0.2500 0.2500  8 Ca 3.09, 4 Cu 3.43-3.44
Ca: 0.0000 0.0140 0.9857  4 Ru 2.97, 4 Cu 3.09

Computed properties:
Total DFT energy (no corrections)   -4.15 eV per atom
Formation energy   0.8 eV/f.u.

---

(7)
This record from Alexandria via LeMat-Bulk describes a relaxed structure of CeSm2HoP4. The functional is GGA-PBE.

Lattice parameters (Å, degrees): 4.0709 7.0371 7.0508 109.40 90.00 90.00
With the nearest neighbours (Å) after each atom.
Sites, in units of the cell vectors:
P: 0.5000 0.7528 0.7572  1 Ce 2.85, 2 Ho 2.85, 3 Sm 2.90-2.91
P: 0.5000 0.2472 0.2428  1 Ce 2.85, 2 Ho 2.85, 3 Sm 2.90-2.91
Ce: 0.5000 0.5000 0.0000  6 P 2.85-2.86
P: 0.0000 0.7495 0.2444  1 Ho 2.85, 2 Ce 2.86, 3 Sm 2.90
Sm: 0.0000 0.5000 0.5000  6 P 2.90-2.91
P: 0.0000 0.2505 0.7556  1 Ho 2.85, 2 Ce 2.86, 3 Sm 2.90
Ho: 0.0000 0.0000 0.0000  6 P 2.85
Sm: 0.5000 0.0000 0.5000  6 P 2.90

Computed properties:
Total DFT energy (no corrections)   -6.77 eV per atom
Formation energy   -12.5 eV/f.u.

---

(8)
This record from Alexandria via LeMat-Bulk describes a relaxed structure of Ag6Te4Au. The functional is GGA-PBE.

Lattice parameters (Å, degrees): 7.6226 7.6998 7.0582 120.68 120.14 93.88
With the nearest neighbours (Å) after each atom.
Sites, in units of the cell vectors:
Ag: 0.4882 0.2632 0.9994  4 Te 2.88-3.06, 5 Ag 2.95-3.21
Te: 0.9200 0.6430 0.5294  1 Au 2.79, 5 Ag 2.90-2.99
Ag: 0.9979 0.0079 0.5035  3 Te 2.81-2.98, 1 Au 2.94, 4 Ag 2.96-3.03
Te: 0.3921 0.1142 0.4712  1 Au 2.79, 5 Ag 2.91-2.98
Ag: 0.7828 0.5326 0.0003  3 Te 2.83-2.91, 1 Au 2.93, 3 Ag 2.95-2.97
Te: 0.5784 0.9067 0.9999  1 Au 2.75, 5 Ag 2.88-2.98
Ag: 0.4957 0.5052 0.4972  3 Te 2.82-2.97, 1 Au 2.95, 4 Ag 2.97-3.04
Ag: 0.5473 0.7694 0.3094  4 Te 2.91-2.99, 4 Ag 2.95-3.20
Ag: 0.2356 0.4583 0.6871  4 Te 2.90-2.98, 4 Ag 2.95-3.21
Au: 0.9386 0.8925 0.0019  3 Te 2.75-2.79, 3 Ag 2.93-2.95
Te: 0.1235 0.4072 0.0006  6 Ag 2.81-3.06

Computed properties:
Total DFT energy (no corrections)   -3.01 eV per atom

---

(9)
This record from Alexandria via LeMat-Bulk describes a relaxed structure of FeRe2Cl. The functional is GGA-PBE.

Lattice parameters (Å, degrees): 2.9331 2.9806 7.4656 90.01 90.00 90.00
With the nearest neighbours (Å) after each atom.
Sites, in units of the cell vectors:
Re: 0.0000 0.0006 0.0112  4 Re 2.58, 4 Fe 2.74
Re: 0.5000 0.5004 0.2141  4 Re 2.58, 2 Cl 2.60
Fe: 0.5000 0.5001 0.7737  2 Cl 2.51, 4 Re 2.74
Cl: 0.0000 0.4989 0.5010  2 Fe 2.51, 2 Re 2.60

Computed properties:
Total DFT energy (no corrections)   -8.47 eV per atom

---

(10)
This record from Alexandria via LeMat-Bulk describes a relaxed structure of KSn2Ru. The functional is GGA-PBE.

Lattice parameters (Å, degrees): 4.9613 4.9613 4.9613 60.00 60.00 60.00
With the nearest neighbours (Å) after each atom.
Sites, in units of the cell vectors:
Ru: 0.5000 0.5000 0.5000  8 Sn 3.04
K: 0.0000 0.0000 0.0000  8 Sn 3.04
Sn: 0.2500 0.2500 0.2500  4 Ru 3.04, 4 K 3.04
Sn: 0.7500 0.7500 0.7500  4 Ru 3.04, 4 K 3.04

Computed properties:
Total DFT energy (no corrections)   -4.25 eV per atom
Formation energy   1.4 eV/f.u.

---

(11)
This record from Alexandria via LeMat-Bulk describes a relaxed structure of Be2MoSe. The functional is GGA-PBE.

Lattice parameters (Å, degrees): 2.9219 2.9219 8.0877 90.00 90.00 90.01
With the nearest neighbours (Å) after each atom.
Sites, in units of the cell vectors:
Mo: 0.0000 0.0000 0.4569  5 Be 2.54-2.65, 4 Se 2.58
Se: 0.5000 0.5000 0.6484  4 Mo 2.58
Be: 0.5000 0.5000 0.2519  4 Be 2.25
Be: 0.0000 0.0000 0.1429  4 Be 2.25

Computed properties:
Total DFT energy (no corrections)   -5.15 eV per atom

---

(12)
This record from Alexandria via LeMat-Bulk describes a relaxed structure of BeHRu2. The functional is GGA-PBE.

Lattice parameters (Å, degrees): 2.7676 2.7676 6.1405 76.98 76.98 60.00
With the nearest neighbours (Å) after each atom.
Sites, in units of the cell vectors:
Ru: 0.7314 0.7314 0.8059  3 H 1.97
Be: 0.5000 0.5000 0.5000  6 Ru 2.42
H: 0.0000 0.0000 0.0000  6 Ru 1.97
Ru: 0.2686 0.2686 0.1941  3 H 1.97

Computed properties:
Total DFT energy (no corrections)   -6.35 eV per atom